{"formula": "FePt3O", "functional": "PBE with a Hubbard U", "state": "optimized geometry", "lattice_angstrom": [[4.505, 0.000, 0.000], [0.000, 4.505, 0.000], [0.000, 0.000, 4.505]], "species": ["Pt", "Pt", "Pt", "Fe", "O"], "frac_coords": [[0.000, 0.500, 0.000], [0.000, 0.000, 0.500], [0.500, 0.000, 0.000], [0.000, 0.000, 0.000], [0.500, 0.500, 0.500]], "m_tot_mub_per_fu": 0.00, "relative_energy_ev_per_atom": 1.669}